A geometry-optimized Sc4OsPb structure. Source: Alexandria, functional GGA-PBEsol.

Cell and atoms, written as POSCAR:
```
Sc4OsPb
1.0
-2.369 -4.149 -2.739
2.186 -5.050 0.222
-2.587 -4.001 2.761
Os Pb Sc
1 1 4
Cartesian
-2.078 -9.900 0.183 Os
0.000 0.000 0.000 Pb
-1.045 -4.981 0.092 Sc
-2.315 -6.944 1.447 Sc
-2.208 -7.016 -1.252 Sc
0.027 -7.458 0.201 Sc
```

Computed properties:
DFT formation energy	0.3868	eV per atom
magnetic moment	0.01	μB per formula unit